1.
Entry from Alexandria: a relaxed structure of RbHfAgS3 (PBE).

Unit cell a=15.288 b=9.439 c=7.843 alpha=90.00 beta=98.61 gamma=90.00
Space group C2/m (No. 12)
Asymmetric unit:
Rb (0.243, 0.000, 0.355) x4
Hf (0.063, 0.500, 0.196) x4
Ag (0.000, 0.313, 0.500) x4
S (0.097, 0.500, 0.902) x4
S (0.123, 0.295, 0.348) x8

Properties
Its total magnetic moment is 0.0 μB per formula unit. The total energy comes out at -5.431 eV/atom. The value obtained for the density of states at the Fermi level is 0.00 states/eV per cell.

2.
Entry from Alexandria: a relaxed structure of Rb2Hf2AgSe6 (PBE).

Unit cell a=6.754 b=11.940 c=8.497 alpha=90.00 beta=104.19 gamma=90.00
Space group C2/m (No. 12)
Asymmetric unit:
Rb (0.000, 0.158, 0.000) x4
Hf (0.000, 0.332, 0.500) x4
Ag (0.000, 0.000, 0.500) x2
Se (0.209, 0.500, 0.682) x4
Se (0.238, 0.178, 0.689) x8

Properties
Its total magnetic moment is 0.0 μB per formula unit. The total energy comes out at -5.220 eV/atom. The value obtained for the density of states at the Fermi level is 18.28 states/eV per cell.

3.
Entry from Alexandria: a relaxed structure of Rb3Hf3AgSe8 (PBE).

Unit cell a=7.9599 b=7.9599 c=24.0506 alpha=90.00 beta=90.00 gamma=120.00
Space group R-3m (No. 166, hexagonal axes)
Asymmetric unit:
Rb (0.0000, 0.5000, 0.0000) x9
Hf (0.0000, 0.5000, 0.5000) x9
Ag (0.0000, 0.0000, 0.5000) x3
Se (0.0000, 0.0000, 0.2302) x6
Se (0.0228, 0.5114, 0.7711) x18

Properties
Its total magnetic moment is 0.0 μB per formula unit. The total energy comes out at -5.389 eV/atom. The value obtained for the density of states at the Fermi level is 7.18 states/eV per cell.

4.
Entry from Alexandria: a relaxed structure of Rb2HfAg2Se4 (PBE).

Unit cell a=15.548 b=4.131 c=8.191 alpha=90.00 beta=110.02 gamma=90.00
Space group C2/m (No. 12)
Asymmetric unit:
Rb (0.137, 0.000, 0.074) x4
Hf (0.000, 0.000, 0.500) x2
Ag (0.182, 0.500, 0.477) x4
Se (0.007, 0.500, 0.278) x4
Se (0.183, 0.000, 0.688) x4

Properties
Its total magnetic moment is 0.0 μB per formula unit. The total energy comes out at -4.417 eV/atom. The value obtained for the density of states at the Fermi level is 0.23 states/eV per cell.